## ErZn (PBE)

Data for a relaxed ErZn crystal.

- energy of formation (eV/atom) = -0.3524
- magnetic moment (μB/cell) = 0.03
- V (Å³ per atom) = 22.03
- final energy (eV per atom) = -3.27

a = 3.532 Å, b = 3.532 Å, c = 3.532 Å
α = 90.00°, β = 90.00°, γ = 90.00°
Space group Pm-3m (No. 221)
Asymmetric unit:
Er1 0.000 0.000 0.000
Zn1 0.500 0.500 0.500